Record 1
# GGA-PBE Cs2BeRhI6, optimized geometry
data_Cs2BeRhI6
_symmetry_space_group_name_H-M 'I 4/m m m'
_symmetry_Int_Tables_number 139
_symmetry_space_group_name_Hall '-I 4 2'
_cell_length_a 8.6902
_cell_length_b 8.6902
_cell_length_c 11.5783
_cell_angle_alpha 90.00
_cell_angle_beta 90.00
_cell_angle_gamma 90.00
loop_
_atom_site_label
_atom_site_type_symbol
_atom_site_fract_x
_atom_site_fract_y
_atom_site_fract_z
_atom_site_occupancy
Cs1 Cs 0.0000 0.5000 0.2500 1
Be1 Be 0.0000 0.0000 0.0000 1
Rh1 Rh 0.0000 0.0000 0.5000 1
I1 I 0.0000 0.0000 0.1919 1
I2 I 0.2159 0.2159 0.5000 1
# - Raw total energy: -2.87 eV per atom
# - Density: 4.33 g/cm³
# - Total magnetization: 2.00 μB per cell
# - Formation energy from raw total energies: -6.580 eV per formula unit

=====

Record 2
# GGA-PBE Cs2BeSI6, optimized geometry
data_Cs2BeSI6
_symmetry_space_group_name_H-M 'I 4/m m m'
_symmetry_Int_Tables_number 139
_symmetry_space_group_name_Hall '-I 4 2'
_cell_length_a 8.0802
_cell_length_b 8.0802
_cell_length_c 12.3139
_cell_angle_alpha 90.00
_cell_angle_beta 90.00
_cell_angle_gamma 90.00
loop_
_atom_site_label
_atom_site_type_symbol
_atom_site_fract_x
_atom_site_fract_y
_atom_site_fract_z
_atom_site_occupancy
Cs1 Cs 0.0000 0.5000 0.2500 1
Be1 Be 0.0000 0.0000 0.0000 1
S1 S 0.0000 0.0000 0.5000 1
I1 I 0.0000 0.0000 0.2810 1
I2 I 0.2230 0.2230 0.0000 1
# - Raw total energy: -2.44 eV per atom
# - Density: 4.41 g/cm³
# - Total magnetization: 0.00 μB per cell
# - Formation energy from raw total energies: -5.507 eV per formula unit

=====

Record 3
# GGA-PBE Cs2BeSbI6, optimized geometry
data_Cs2BeSbI6
_symmetry_space_group_name_H-M 'I 4/m m m'
_symmetry_Int_Tables_number 139
_symmetry_space_group_name_Hall '-I 4 2'
_cell_length_a 8.9919
_cell_length_b 8.9919
_cell_length_c 11.8116
_cell_angle_alpha 90.00
_cell_angle_beta 90.00
_cell_angle_gamma 90.00
loop_
_atom_site_label
_atom_site_type_symbol
_atom_site_fract_x
_atom_site_fract_y
_atom_site_fract_z
_atom_site_occupancy
Cs1 Cs 0.0000 0.5000 0.2500 1
Be1 Be 0.0000 0.0000 0.0000 1
Sb1 Sb 0.0000 0.0000 0.5000 1
I1 I 0.0000 0.0000 0.1917 1
I2 I 0.2375 0.2375 0.5000 1
# - Raw total energy: -2.61 eV per atom
# - Density: 4.03 g/cm³
# - Total magnetization: 2.00 μB per cell
# - Formation energy from raw total energies: -7.234 eV per formula unit

=====

Record 4
# GGA-PBE CsBeSb2I, optimized geometry
data_CsBeSb2I
_symmetry_space_group_name_H-M 'P 4/m m m'
_symmetry_Int_Tables_number 123
_symmetry_space_group_name_Hall '-P 4 2'
_cell_length_a 4.9508
_cell_length_b 4.9508
_cell_length_c 8.1272
_cell_angle_alpha 90.00
_cell_angle_beta 90.00
_cell_angle_gamma 90.00
loop_
_atom_site_label
_atom_site_type_symbol
_atom_site_fract_x
_atom_site_fract_y
_atom_site_fract_z
_atom_site_occupancy
Cs1 Cs 0.0000 0.0000 0.0000 1
Be1 Be 0.5000 0.5000 0.5000 1
Sb1 Sb 0.0000 0.5000 0.5000 1
I1 I 0.5000 0.5000 0.0000 1
# - Raw total energy: -2.88 eV per atom
# - E above lowest polymorph: 0.000 eV per atom
# - Density: 4.27 g/cm³
# - Total magnetization: 0.00 μB per cell
# - Formation energy from raw total energies: -0.027 eV per formula unit